TiNb2Rh6 after structural relaxation. Source: the Alexandria database, functional PBE-GGA.

Values from the calculation:
The calculated volume is 17.58 A^3/atom. Its total DFT energy (no corrections) is -8.1813 eV/atom.

Cell lengths 7.2659, 7.2659, 4.2065 Å; angles 106.77, 106.77, 48.69 degrees
Closest atoms and distances in Å follow each position.
Atoms (fractional coordinates):
Ti  0.0000  0.0000  0.0000  8 Rh 2.55
Nb  0.3359  0.3359  0.3360  8 Rh 2.58-2.60
Nb  0.6641  0.6641  0.6640  8 Rh 2.58-2.60
Rh  0.0810  0.5884  0.8348  1 Ti 2.55, 3 Nb 2.59-2.60
Rh  0.2414  0.7586  0.5000  2 Ti 2.55, 2 Nb 2.58
Rh  0.4116  0.9190  0.1652  1 Ti 2.55, 3 Nb 2.59-2.60
Rh  0.5884  0.0810  0.8348  1 Ti 2.55, 3 Nb 2.59-2.60
Rh  0.7586  0.2414  0.5000  2 Ti 2.55, 2 Nb 2.58
Rh  0.9190  0.4116  0.1652  1 Ti 2.55, 3 Nb 2.59-2.60

---

Ti2Nb2Rh after structural relaxation. Source: the Alexandria database, functional PBE-GGA.

Values from the calculation:
The calculated volume is 16.56 A^3/atom. The value obtained for the energy above the most stable polymorph in this dataset is 0 kJ/mol of formula units.

Cell lengths 8.4315, 8.4315, 8.4315 Å; angles 158.17, 158.17, 31.06 degrees
Closest atoms and distances in Å follow each position.
Atoms (fractional coordinates):
Ti  0.0953  0.0953  0.0000  4 Rh 2.74, 4 Nb 2.82
Ti  0.9047  0.9047  0.0000  4 Rh 2.74, 4 Nb 2.82
Nb  0.3009  0.3009  0.0000  4 Nb 2.80, 4 Ti 2.82
Nb  0.6991  0.6991  0.0000  4 Nb 2.80, 4 Ti 2.82
Rh  0.5000  0.5000  0.0000  8 Ti 2.74

---

TiNb3Rh6 after structural relaxation. Source: the Alexandria database, functional PBE-GGA.

Values from the calculation:
The calculated volume is 15.51 A^3/atom. Its total DFT energy (no corrections) is -8.7061 eV/atom.

Cell lengths 7.6358, 4.5134, 9.6220 Å; angles 90.00, 110.74, 90.00 degrees
Closest atoms and distances in Å follow each position.
Atoms (fractional coordinates):
Ti  0.1231  0.2500  0.0586  8 Rh 2.63-2.94, 2 Nb 2.85-2.92, 2 Ti 2.90
Ti  0.8769  0.7500  0.9414  8 Rh 2.63-2.94, 2 Nb 2.85-2.92, 2 Ti 2.90
Nb  0.0674  0.7500  0.7343  7 Rh 2.64-2.81, 1 Ti 2.85
Nb  0.3000  0.7500  0.5308  11 Rh 2.75-2.91, 1 Nb 3.07
Nb  0.3328  0.2500  0.8571  8 Rh 2.62-2.85, 1 Ti 2.92
Nb  0.6672  0.7500  0.1429  8 Rh 2.62-2.85, 1 Ti 2.92
Nb  0.7000  0.2500  0.4692  11 Rh 2.75-2.91, 1 Nb 3.07
Nb  0.9326  0.2500  0.2657  7 Rh 2.64-2.81, 1 Ti 2.85
Rh  0.0954  0.7500  0.2227  3 Ti 2.63-2.80, 3 Nb 2.68-2.82, 5 Rh 2.80-2.89
Rh  0.1072  0.2500  0.5742  7 Nb 2.66-2.91, 5 Rh 2.86-2.90
Rh  0.2864  0.7500  0.0219  3 Ti 2.66-2.94, 4 Nb 2.68-2.85, 5 Rh 2.80-2.86
Rh  0.3016  0.2500  0.3651  4 Nb 2.64-2.85, 7 Rh 2.75-2.89, 1 Ti 2.78
Rh  0.4875  0.7500  0.3303  4 Nb 2.62-2.82, 8 Rh 2.75-2.90
Rh  0.4982  0.2500  0.1685  4 Nb 2.65-2.81, 1 Ti 2.68, 6 Rh 2.76-2.86
Rh  0.5018  0.7500  0.8315  4 Nb 2.65-2.81, 1 Ti 2.68, 6 Rh 2.76-2.86
Rh  0.5125  0.2500  0.6697  4 Nb 2.62-2.82, 8 Rh 2.75-2.90
Rh  0.6984  0.7500  0.6349  4 Nb 2.64-2.85, 7 Rh 2.75-2.89, 1 Ti 2.78
Rh  0.7136  0.2500  0.9781  3 Ti 2.66-2.94, 4 Nb 2.68-2.85, 5 Rh 2.80-2.86
Rh  0.8928  0.7500  0.4258  7 Nb 2.66-2.91, 5 Rh 2.86-2.90
Rh  0.9046  0.2500  0.7773  3 Ti 2.63-2.80, 3 Nb 2.68-2.82, 5 Rh 2.80-2.89

---

TiNbRh4 after structural relaxation. Source: the Alexandria database, functional PBE-GGA.

Values from the calculation:
The calculated volume is 15.15 A^3/atom. The value obtained for the energy above the most stable polymorph in this dataset is 0 kJ/mol of formula units.

Cell lengths 4.9357, 4.9357, 7.2931 Å; angles 111.51, 111.51, 33.64 degrees
Closest atoms and distances in Å follow each position.
Atoms (fractional coordinates):
Ti  0.0000  0.0000  0.0000  8 Rh 2.61-2.70, 2 Ti 2.86
Nb  0.0000  0.0000  0.5000  10 Rh 2.74-2.91, 2 Nb 2.86
Rh  0.3332  0.3332  0.6746  2 Ti 2.70, 3 Nb 2.77-2.91, 7 Rh 2.80-2.86
Rh  0.3465  0.3465  0.1607  2 Ti 2.61, 2 Nb 2.74, 7 Rh 2.75-2.86
Rh  0.6535  0.6535  0.8393  2 Ti 2.61, 2 Nb 2.74, 7 Rh 2.75-2.86
Rh  0.6668  0.6668  0.3254  2 Ti 2.70, 3 Nb 2.77-2.91, 7 Rh 2.80-2.86

---

TiNb2Rh after structural relaxation. Source: the Alexandria database, functional PBE-GGA.

Values from the calculation:
The calculated volume is 16.53 A^3/atom. The value obtained for the energy above the most stable polymorph in this dataset is 56 kJ/mol of formula units.

Cell lengths 4.5385, 4.5385, 4.5385 Å; angles 60.00, 60.00, 60.00 degrees
Closest atoms and distances in Å follow each position.
Atoms (fractional coordinates):
Ti  0.0000  0.0000  0.0000  8 Nb 2.78
Nb  0.2500  0.2500  0.2500  4 Rh 2.78, 4 Ti 2.78
Nb  0.7500  0.7500  0.7500  4 Ti 2.78, 4 Rh 2.78
Rh  0.5000  0.5000  0.5000  8 Nb 2.78

---

TiNbRh3 after structural relaxation. Source: the Alexandria database, functional PBE-GGA.

Values from the calculation:
The calculated volume is 15.30 A^3/atom. The value obtained for the energy above the most stable polymorph in this dataset is 0 kJ/mol of formula units.

Cell lengths 4.9395, 4.9395, 8.5735 Å; angles 94.57, 94.57, 47.23 degrees
Closest atoms and distances in Å follow each position.
Atoms (fractional coordinates):
Ti  0.1424  0.1424  0.0668  6 Rh 2.55-2.66, 1 Ti 2.73
Ti  0.8576  0.8576  0.9332  6 Rh 2.55-2.66, 1 Ti 2.73
Nb  0.3495  0.3495  0.4310  9 Rh 2.69-2.95, 3 Nb 2.87-2.99
Nb  0.6505  0.6505  0.5690  9 Rh 2.69-2.95, 3 Nb 2.87-2.99
Rh  0.0399  0.0399  0.3488  1 Ti 2.66, 6 Rh 2.75-2.86, 5 Nb 2.76-2.85
Rh  0.2646  0.2646  0.7553  2 Ti 2.59, 2 Nb 2.69, 5 Rh 2.82-2.85
Rh  0.4224  0.4224  0.1306  3 Ti 2.55-2.64, 1 Nb 2.71, 3 Rh 2.74-2.83
Rh  0.5776  0.5776  0.8694  3 Ti 2.55-2.64, 1 Nb 2.71, 3 Rh 2.74-2.83
Rh  0.7354  0.7354  0.2447  2 Ti 2.59, 2 Nb 2.69, 5 Rh 2.82-2.85
Rh  0.9601  0.9601  0.6512  1 Ti 2.66, 6 Rh 2.75-2.86, 5 Nb 2.76-2.85

---

Ti3NbRh4 after structural relaxation. Source: the Alexandria database, functional PBE-GGA.

Values from the calculation:
The calculated volume is 15.33 A^3/atom. Its total DFT energy (no corrections) is -8.5356 eV/atom.

Cell lengths 8.9672, 5.8134, 4.7055 Å; angles 90.00, 90.00, 90.00 degrees
Closest atoms and distances in Å follow each position.
Atoms (fractional coordinates):
Ti  0.0000  0.0000  0.0000  8 Rh 2.70-2.76, 2 Nb 2.91, 2 Ti 3.00
Ti  0.2500  0.0000  0.4232  8 Rh 2.68-2.82, 4 Ti 2.91-3.00
Ti  0.2500  0.5000  0.4295  8 Rh 2.68-2.87, 2 Ti 2.91
Ti  0.5000  0.0000  0.0000  8 Rh 2.70-2.76, 2 Nb 2.91, 2 Ti 3.00
Ti  0.7500  0.0000  0.5768  8 Rh 2.68-2.82, 4 Ti 2.91-3.00
Ti  0.7500  0.5000  0.5705  8 Rh 2.68-2.87, 2 Ti 2.91
Nb  0.0000  0.5000  0.0000  8 Rh 2.72-2.77, 4 Ti 2.91-3.02
Nb  0.5000  0.5000  0.0000  8 Rh 2.72-2.77, 4 Ti 2.91-3.02
Rh  0.0000  0.2474  0.5000  6 Ti 2.69-2.76, 2 Nb 2.77, 4 Rh 2.88-2.94
Rh  0.0000  0.7526  0.5000  6 Ti 2.69-2.76, 2 Nb 2.77, 4 Rh 2.88-2.94
Rh  0.2500  0.2459  0.9056  6 Ti 2.68-2.87, 2 Nb 2.72, 4 Rh 2.86-2.95
Rh  0.2500  0.7541  0.9056  6 Ti 2.68-2.87, 2 Nb 2.72, 4 Rh 2.86-2.95
Rh  0.5000  0.2474  0.5000  6 Ti 2.69-2.76, 2 Nb 2.77, 4 Rh 2.88-2.94
Rh  0.5000  0.7526  0.5000  6 Ti 2.69-2.76, 2 Nb 2.77, 4 Rh 2.88-2.94
Rh  0.7500  0.2459  0.0944  6 Ti 2.68-2.87, 2 Nb 2.72, 4 Rh 2.86-2.95
Rh  0.7500  0.7541  0.0944  6 Ti 2.68-2.87, 2 Nb 2.72, 4 Rh 2.86-2.95

---

TiNb4Rh7 after structural relaxation. Source: the Alexandria database, functional PBE-GGA.

Values from the calculation:
The calculated volume is 16.88 A^3/atom. Its total DFT energy (no corrections) is -8.5277 eV/atom.

Cell lengths 5.8025, 5.8025, 9.4875 Å; angles 116.86, 116.86, 46.77 degrees
Closest atoms and distances in Å follow each position.
Atoms (fractional coordinates):
Ti  0.0000  0.0000  0.0000  2 Rh 2.30
Nb  0.2585  0.2585  0.6721  4 Rh 2.51-2.70
Nb  0.4108  0.4108  0.2284  8 Rh 2.52-2.76
Nb  0.5892  0.5892  0.7716  8 Rh 2.52-2.76
Nb  0.7415  0.7415  0.3279  4 Rh 2.51-2.70
Rh  0.0698  0.0698  0.3299  4 Rh 2.71-2.89, 5 Nb 2.74-2.95, 1 Ti 2.84
Rh  0.2147  0.2147  0.9085  4 Nb 2.51-2.71, 4 Rh 2.72-2.76
Rh  0.3603  0.3603  0.4615  5 Nb 2.52-2.75, 2 Rh 2.69-2.71
Rh  0.5000  0.5000  0.0000  2 Ti 2.30
Rh  0.6397  0.6397  0.5385  5 Nb 2.52-2.75, 2 Rh 2.69-2.71
Rh  0.7853  0.7853  0.0915  4 Nb 2.51-2.71, 4 Rh 2.72-2.76
Rh  0.9302  0.9302  0.6701  4 Rh 2.71-2.89, 5 Nb 2.74-2.95, 1 Ti 2.84

---

TiNb2Rh after structural relaxation. Source: the Alexandria database, functional PBE-GGA.

Values from the calculation:
The calculated volume is 16.90 A^3/atom. The value obtained for the energy above the most stable polymorph in this dataset is 51 kJ/mol of formula units.

Cell lengths 3.8071, 3.8071, 4.6644 Å; angles 90.00, 90.00, 90.00 degrees
Closest atoms and distances in Å follow each position.
Atoms (fractional coordinates):
Ti  0.0000  0.0000  0.0000  4 Rh 2.69, 8 Nb 3.01
Nb  0.0000  0.5000  0.5000  4 Nb 2.69, 4 Rh 3.01, 4 Ti 3.01
Nb  0.5000  0.0000  0.5000  4 Nb 2.69, 4 Rh 3.01, 4 Ti 3.01
Rh  0.5000  0.5000  0.0000  4 Ti 2.69, 8 Nb 3.01

---

TiNbRh3 after structural relaxation. Source: the Alexandria database, functional PBE-GGA.

Values from the calculation:
The calculated volume is 18.02 A^3/atom. The value obtained for the energy above the most stable polymorph in this dataset is 524 kJ/mol of formula units.

Cell lengths 4.4832, 4.4832, 4.4832 Å; angles 90.00, 90.00, 90.00 degrees
Closest atoms and distances in Å follow each position.
Atoms (fractional coordinates):
Ti  0.0000  0.0000  0.0000  6 Rh 2.24
Nb  0.5000  0.5000  0.5000  12 Rh 3.17
Rh  0.0000  0.0000  0.5000  2 Ti 2.24
Rh  0.0000  0.5000  0.0000  2 Ti 2.24
Rh  0.5000  0.0000  0.0000  2 Ti 2.24

---

What is the calculated volume in the eighth record?
16.88 A^3/atom

---

What is the calculated volume in the seventh record?
15.33 A^3/atom

---

Which value of calculated volume does entry 3 give?
15.51 A^3/atom

---

calculated volume of number 5 (TiNb2Rh)?
16.53 A^3/atom